Entry 1:
VASP calculation (PBE) on an optimized crystal structure of Re3BiMo.

a = 4.777 Å, b = 4.777 Å, c = 4.777 Å
α = 90.00°, β = 90.00°, γ = 90.00°
Last column: magnetic moment on the atom in μB.
Atoms (fractional coordinates):
1 Re 0.000 0.500 0.000  0.43
2 Re 0.000 0.000 0.500  0.42
3 Re 0.500 0.000 0.000  0.43
4 Mo 0.000 0.000 0.000  -0.10
5 Bi 0.500 0.500 0.500  -0.07

- DOS(E_F) (states/eV/f.u.) = 5.45
- distance to the lowest polymorph of the same formula (meV per atom) = 0
- density (kg/m3) = 13154



Entry 2:
VASP calculation (PBE) on an optimized crystal structure of ReBiMo2.

a = 7.467 Å, b = 7.467 Å, c = 6.009 Å
α = 51.59°, β = 51.59°, γ = 90.00°
Atoms (fractional coordinates):
1 Re 0.500 0.500 0.000
2 Re 0.250 0.750 0.500
3 Mo 0.576 0.125 0.250
4 Mo 0.174 0.625 0.250
5 Mo 0.375 0.424 0.750
6 Mo 0.875 0.826 0.750
7 Bi 0.000 0.000 0.000
8 Bi 0.750 0.250 0.500

- DOS(E_F) (states/eV/f.u.) = 4.36
- density (kg/m3) = 12186
- total DFT energy (no corrections) (eV/atom) = -8.468



Entry 3:
VASP calculation (PBE) on an optimized crystal structure of V2ReBiMo.

a = 4.774 Å, b = 4.923 Å, c = 4.774 Å
α = 90.00°, β = 90.00°, γ = 90.00°
Last column: magnetic moment on the atom in μB.
Atoms (fractional coordinates):
1 Re 0.000 0.500 0.000  -0.55
2 Mo 0.500 0.500 0.500  1.05
3 Bi 0.000 0.000 0.000  -0.03
4 V 0.000 0.000 0.500  0.81
5 V 0.500 0.000 0.000  0.80

- DOS(E_F) (states/eV/f.u.) = 7.09
- density (kg/m3) = 8774
- total DFT energy (no corrections) (eV/atom) = -6.463



Entry 4:
VASP calculation (PBE) on an optimized crystal structure of Bi2MoRh.

a = 6.318 Å, b = 6.318 Å, c = 7.511 Å
α = 65.13°, β = 65.13°, γ = 90.00°
Last column: magnetic moment on the atom in μB.
Atoms (fractional coordinates):
1 Mo 0.500 0.500 0.000  1.54
2 Mo 0.250 0.750 0.500  1.55
3 Rh 0.000 0.000 0.000  0.01
4 Rh 0.750 0.250 0.500  0.01
5 Bi 0.638 0.125 0.250  -0.08
6 Bi 0.112 0.625 0.250  -0.08
7 Bi 0.375 0.362 0.750  -0.09
8 Bi 0.875 0.888 0.750  -0.08

- DOS(E_F) (states/eV/f.u.) = 4.24
- distance to the lowest polymorph of the same formula (meV per atom) = 504
- density (kg/m3) = 8498



Entry 5:
VASP calculation (PBE) on an optimized crystal structure of Bi2MoRh.

a = 4.860 Å, b = 4.860 Å, c = 4.860 Å
α = 60.00°, β = 60.00°, γ = 60.00°
Atoms (fractional coordinates):
1 Mo 0.000 0.000 0.000
2 Rh 0.500 0.500 0.500
3 Bi 0.250 0.250 0.250
4 Bi 0.750 0.750 0.750

- DOS(E_F) (states/eV/f.u.) = 2.24
- distance to the lowest polymorph of the same formula (meV per atom) = 0
- density (kg/m3) = 12618



Entry 6:
VASP calculation (PBE) on an optimized crystal structure of BiMoRh.

a = 4.654 Å, b = 4.655 Å, c = 6.329 Å
α = 90.00°, β = 90.00°, γ = 119.99°
Atoms (fractional coordinates):
1 Rh 0.444 0.889 0.000
2 Rh 0.444 0.889 0.500
3 Mo 0.778 0.556 0.683
4 Mo 0.778 0.556 0.317
5 Bi 0.111 0.222 0.767
6 Bi 0.111 0.222 0.233

- DOS(E_F) (states/eV/f.u.) = 3.46
- distance to the lowest polymorph of the same formula (meV per atom) = 4
- density (kg/m3) = 11405



Entry 7:
VASP calculation (PBE) on an optimized crystal structure of BiMo2Rh.

a = 6.182 Å, b = 6.182 Å, c = 6.952 Å
α = 63.60°, β = 63.60°, γ = 90.00°
Last column: magnetic moment on the atom in μB.
Atoms (fractional coordinates):
1 Mo 0.577 0.125 0.250  0.11
2 Mo 0.173 0.625 0.250  0.11
3 Mo 0.375 0.423 0.750  0.11
4 Mo 0.875 0.827 0.750  0.12
5 Rh 0.500 0.500 0.000  -0.03
6 Rh 0.250 0.750 0.500  -0.03
7 Bi 0.000 0.000 0.000  -0.01
8 Bi 0.750 0.250 0.500  -0.01

- DOS(E_F) (states/eV/f.u.) = 4.92
- density (kg/m3) = 8098
- total DFT energy (no corrections) (eV/atom) = -6.906



Entry 8:
VASP calculation (PBE) on an optimized crystal structure of BiMoRh.

a = 4.483 Å, b = 4.483 Å, c = 4.483 Å
α = 60.00°, β = 60.00°, γ = 60.00°
Atoms (fractional coordinates):
1 Mo 0.250 0.250 0.250
2 Rh 0.000 0.000 0.000
3 Bi 0.500 0.500 0.500

- DOS(E_F) (states/eV/f.u.) = 4.19
- distance to the lowest polymorph of the same formula (meV per atom) = 0
- density (kg/m3) = 10629



Entry 9:
VASP calculation (PBE) on an optimized crystal structure of BiMoRhS2.

a = 4.618 Å, b = 4.951 Å, c = 4.618 Å
α = 90.00°, β = 90.00°, γ = 90.00°
Atoms (fractional coordinates):
1 S 0.000 0.000 0.500
2 S 0.500 0.000 0.000
3 Mo 0.000 0.000 0.000
4 Rh 0.000 0.500 0.000
5 Bi 0.500 0.500 0.500

- uncorrected formation energy (eV/atom) = 0.260
- DOS(E_F) (states/eV/f.u.) = 3.79
- density (kg/m3) = 7424



Entry 10:
VASP calculation (PBE) on an optimized crystal structure of ScBiMoRh2.

a = 4.729 Å, b = 5.235 Å, c = 4.729 Å
α = 90.00°, β = 90.00°, γ = 90.00°
Atoms (fractional coordinates):
1 Sc 0.500 0.500 0.500
2 Mo 0.000 0.000 0.000
3 Rh 0.000 0.000 0.500
4 Rh 0.500 0.000 0.000
5 Bi 0.000 0.500 0.000

- DOS(E_F) (states/eV/f.u.) = 3.83
- density (kg/m3) = 7884
- total DFT energy (no corrections) (eV/atom) = -6.514



Entry 11:
VASP calculation (PBE) on an optimized crystal structure of SrBi2MoRh.

a = 5.293 Å, b = 5.580 Å, c = 5.293 Å
α = 90.00°, β = 90.00°, γ = 90.00°
Atoms (fractional coordinates):
1 Sr 0.000 0.500 0.000
2 Mo 0.000 0.000 0.000
3 Rh 0.500 0.500 0.500
4 Bi 0.000 0.000 0.500
5 Bi 0.500 0.000 0.000

- DOS(E_F) (states/eV/f.u.) = 6.51
- density (kg/m3) = 7482
- total DFT energy (no corrections) (eV/atom) = -4.613



Entry 12:
VASP calculation (PBE) on an optimized crystal structure of BiTeMoRh2.

a = 4.807 Å, b = 4.807 Å, c = 5.832 Å
α = 90.00°, β = 90.00°, γ = 90.00°
Last column: magnetic moment on the atom in μB.
Atoms (fractional coordinates):
1 Mo 0.500 0.500 0.500  3.37
2 Te 0.000 0.000 0.000  0.03
3 Rh 0.000 0.500 0.000  0.14
4 Rh 0.500 0.000 0.000  0.14
5 Bi 0.000 0.000 0.500  -0.17

- uncorrected formation energy (eV/atom) = 1.388
- DOS(E_F) (states/eV/f.u.) = 7.15
- density (kg/m3) = 7866



What is the DOS(E_F) in the fourth record? 4.24 states/eV/f.u.



What is the formula in the first record? Re3BiMo